[1]
First-principles (GGA-PBE) data for a geometry-optimized MnCdTc2 structure, as listed in Alexandria via LeMat-Bulk.

Unit cell a=2.846 b=3.833 c=5.775 alpha=90.00 beta=90.00 gamma=90.00
Fractional positions:
Mn  0.000  0.000  0.000
Cd  0.500  0.500  0.733
Tc  0.000  0.000  0.436
Tc  0.500  0.500  0.234

Computed properties:
- SG: Pmm2 (25)
- Raw total energy: -29.7 eV/f.u.

[2]
First-principles (GGA-PBE) data for a geometry-optimized Cd2TcP structure, as listed in Alexandria via LeMat-Bulk.

Unit cell a=5.146 b=8.604 c=3.249 alpha=90.00 beta=90.00 gamma=90.00
Fractional positions:
Cd  0.250  0.250  0.000
Cd  0.250  0.750  0.000
Cd  0.750  0.250  0.000
Cd  0.750  0.750  0.000
Tc  0.000  0.000  0.500
Tc  0.500  0.500  0.500
P  0.000  0.500  0.500
P  0.500  0.000  0.500

Computed properties:
- SG: Cmmm (65)
- Raw total energy: -15.8 eV/f.u.

[3]
First-principles (GGA-PBE) data for a geometry-optimized HfSc2Zn structure, as listed in Alexandria via LeMat-Bulk.

Unit cell a=3.217 b=3.217 c=8.110 alpha=90.00 beta=90.00 gamma=90.00
Fractional positions:
Hf  0.000  0.000  0.000
Sc  0.500  0.500  0.273
Sc  0.500  0.500  0.727
Zn  0.000  0.000  0.500

Computed properties:
- SG: P4/mmm (123)
- Raw total energy: -24.6 eV/f.u.

[4]
First-principles (GGA-PBE) data for a geometry-optimized TbCePmSn structure, as listed in Alexandria via LeMat-Bulk.

Unit cell a=7.687 b=7.687 c=7.687 alpha=90.00 beta=90.00 gamma=90.00
Fractional positions:
Tb  0.000  0.000  0.000
Tb  0.000  0.500  0.500
Tb  0.500  0.000  0.500
Tb  0.500  0.500  0.000
Ce  0.250  0.250  0.250
Ce  0.250  0.750  0.750
Ce  0.750  0.250  0.750
Ce  0.750  0.750  0.250
Pm  0.000  0.000  0.500
Pm  0.000  0.500  0.000
Pm  0.500  0.000  0.000
Pm  0.500  0.500  0.500
Sn  0.250  0.250  0.750
Sn  0.250  0.750  0.250
Sn  0.750  0.250  0.250
Sn  0.750  0.750  0.750

Computed properties:
- SG: F-43m (216)
- Raw total energy: -20.1 eV/f.u.

[5]
First-principles (GGA-PBE) data for a geometry-optimized CdRhW2 structure, as listed in Alexandria via LeMat-Bulk.

Unit cell a=7.431 b=7.431 c=5.280 alpha=90.00 beta=90.00 gamma=90.00
Fractional positions:
Cd  0.000  0.000  0.000
Cd  0.000  0.500  0.250
Cd  0.500  0.000  0.750
Cd  0.500  0.500  0.500
Rh  0.000  0.000  0.500
Rh  0.000  0.500  0.750
Rh  0.500  0.000  0.250
Rh  0.500  0.500  0.000
W  0.210  0.250  0.625
W  0.250  0.710  0.875
W  0.250  0.790  0.375
W  0.290  0.250  0.125
W  0.710  0.750  0.125
W  0.750  0.210  0.375
W  0.750  0.290  0.875
W  0.790  0.750  0.625

Computed properties:
- SG: I-42d (122)
- Raw total energy: -30.5 eV/f.u.

[6]
First-principles (GGA-PBE) data for a geometry-optimized Al3Zn2Ga3 structure, as listed in Alexandria via LeMat-Bulk.

Unit cell a=16.522 b=4.056 c=4.122 alpha=90.00 beta=101.96 gamma=90.00
Fractional positions:
Al  0.000  0.000  0.000
Al  0.127  0.000  0.613
Al  0.373  0.500  0.387
Al  0.500  0.500  0.000
Al  0.627  0.500  0.613
Al  0.873  0.000  0.387
Zn  0.249  0.500  0.744
Zn  0.251  0.000  0.256
Zn  0.749  0.000  0.744
Zn  0.751  0.500  0.256
Ga  0.000  0.500  0.500
Ga  0.128  0.500  0.113
Ga  0.372  0.000  0.887
Ga  0.500  0.000  0.500
Ga  0.628  0.000  0.113
Ga  0.872  0.500  0.887

Computed properties:
- SG: C2/m (12)
- Raw total energy: -22.6 eV/f.u.

The lowest raw total energy belongs to which entry? CdRhW2